(1)
## DyTm2PbC (PBE-GGA)

Data for a relaxed DyTm2PbC crystal.

Cell lengths 4.838, 4.838, 4.920 Å; angles 90.00, 90.00, 90.00 degrees
Space group P4/mmm (No. 123)
Symmetry-distinct sites (fractional):
Dy 0.000 0.000 0.000
Tm 0.000 0.500 0.500
Pb 0.500 0.500 0.000
C 0.000 0.000 0.500

Results
calculated total energy = -29.3 eV/cell


(2)
## Tb12Nd3Mg (PBE-GGA)

Data for a relaxed Tb12Nd3Mg crystal.

Cell lengths 5.040, 5.040, 20.201 Å; angles 90.00, 90.00, 90.00 degrees
Space group P4/mmm (No. 123)
Symmetry-distinct sites (fractional):
Tb 0.000 0.000 0.000
Tb 0.000 0.000 0.244
Tb 0.000 0.000 0.500
Tb 0.000 0.500 0.121
Tb 0.000 0.500 0.373
Nd 0.500 0.500 0.247
Nd 0.500 0.500 0.500
Mg 0.500 0.500 0.000

Results
calculated total energy = -71.1 eV/cell


(3)
## LaDySi2Pt5 (PBE-GGA)

Data for a relaxed LaDySi2Pt5 crystal.

Cell lengths 4.273, 4.273, 8.981 Å; angles 90.00, 90.00, 90.00 degrees
Space group P4/mmm (No. 123)
Symmetry-distinct sites (fractional):
La 0.000 0.000 0.000
Dy 0.000 0.000 0.500
Si 0.500 0.500 0.368
Pt 0.000 0.500 0.244
Pt 0.500 0.500 0.000

Results
formation energy from raw total energies = -100 kJ/mol of atoms


Repeat the second record exactly.
## Tb12Nd3Mg (PBE-GGA)

Data for a relaxed Tb12Nd3Mg crystal.

Cell lengths 5.040, 5.040, 20.201 Å; angles 90.00, 90.00, 90.00 degrees
Space group P4/mmm (No. 123)
Symmetry-distinct sites (fractional):
Tb 0.000 0.000 0.000
Tb 0.000 0.000 0.244
Tb 0.000 0.000 0.500
Tb 0.000 0.500 0.121
Tb 0.000 0.500 0.373
Nd 0.500 0.500 0.247
Nd 0.500 0.500 0.500
Mg 0.500 0.500 0.000

Results
calculated total energy = -71.1 eV/cell


Copy entry 3 word for word.
## LaDySi2Pt5 (PBE-GGA)

Data for a relaxed LaDySi2Pt5 crystal.

Cell lengths 4.273, 4.273, 8.981 Å; angles 90.00, 90.00, 90.00 degrees
Space group P4/mmm (No. 123)
Symmetry-distinct sites (fractional):
La 0.000 0.000 0.000
Dy 0.000 0.000 0.500
Si 0.500 0.500 0.368
Pt 0.000 0.500 0.244
Pt 0.500 0.500 0.000

Results
formation energy from raw total energies = -100 kJ/mol of atoms